DyTmCu5: optimized geometry, PBE.

Computed properties:
DFT formation energy = -21 kJ/mol of atoms
N(E_F) = 13.06 states/eV per cell
Magnetization = 0.0 μB per formula unit

Cell: 8.4740 5.0400 10.8806 Å, 90.00 90.00 90.00°
Space group Pnma (No. 62)
One atom of each set of equivalent atoms:
Dy1 0.1317 0.2500 0.1394 (multiplicity 4)
Tm1 0.2402 0.2500 0.4435 (multiplicity 4)
Cu1 0.0494 0.2500 0.8874 (multiplicity 4)
Cu2 0.0695 0.0014 0.6816 (multiplicity 8)
Cu3 0.0839 0.7500 0.4801 (multiplicity 4)
Cu4 0.1952 0.7500 0.2670 (multiplicity 4)

***

Dy4TmCu4: optimized geometry, PBE.

Computed properties:
DFT formation energy = -4 kJ/mol of atoms
N(E_F) = 22.21 states/eV per cell
Magnetization = 0.0 μB per formula unit

Cell: 8.5620 8.5620 5.8922 Å, 90.00 90.00 90.00°
Space group P4_2/n (No. 86, origin choice 2)
One atom of each set of equivalent atoms:
Dy1 0.0527 0.6640 0.1500 (multiplicity 8)
Tm1 0.2500 0.2500 0.2500 (multiplicity 2)
Cu1 0.0207 0.6217 0.6261 (multiplicity 8)